[1]
Cs2SrSnI6 | the Alexandria database | PBE | relaxed; uncorrected formation energy = -1.27 eV per atom; polymorph energy (0 for the lowest one) = 25 meV/atom
1.0
-4.8398 -3.2222 -6.9249
-3.3777 -6.4500 5.3619
-8.9526 -0.9777 0.8085
Cs I Sn Sr
2 6 1 1
Cartesian
-8.9506 -4.5180 -3.4489 Cs
-8.2195 -6.1319 2.6945 Cs
-6.5618 -2.8821 0.0237 I
-10.6083 -7.7678 -0.7782 I
-2.0278 -2.3867 -0.3857 I
-6.1898 -7.2855 -1.1773 I
-4.4790 -4.0187 -3.8930 I
-3.7385 -5.6535 2.3300 I
0.0000 0.0000 0.0000 Sn
-4.1088 -4.8361 -0.7815 Sr


[2]
ZnCrHg2 | the Alexandria database | PBE | relaxed; calculated formation energy = 0.31 eV per atom; polymorph energy (0 for the lowest one) = 19 meV/atom
1.0
-2.9068 -3.5111 -1.2743
-4.3831 -0.2052 1.7742
-3.7230 0.9011 -2.7801
Cr Zn Hg
1 1 2
Cartesian
0.0000 0.0000 0.0000 Cr
-5.5065 -1.4076 -1.1401 Zn
-2.7532 -0.7038 -0.5701 Hg
-8.2597 -2.1115 -1.7102 Hg